# Al2VCrRu

Crystalline Al2VCrRu at its relaxed geometry (PBE-GGA, Alexandria).

Values from the calculation:
Total magnetization = 0.1 μB/f.u.
ΔE_f = 1.243 eV per atom
Symmetry = No. 123
Calculated density = 4.47 g cm⁻³

Lattice parameters (Å, degrees): 4.7001 4.7001 4.3382 90.00 90.00 90.00
Fractional coordinates of all 5 atoms:
Al 0.0000 0.5000 0.0000
Al 0.5000 0.0000 0.0000
V 0.0000 0.0000 0.0000
Cr 0.5000 0.5000 0.5000
Ru 0.0000 0.0000 0.5000